BaZnWF7: optimized geometry, GGA+U.

Raw total energy in eV per cell: -209.9
Density of states at the Fermi level in states/eV/atom: 0.0000
SG: P2_1/c

abc: 5.814 10.335 9.963
angles: 90.00 92.48 90.00
Atoms (fractional coordinates):
Ba (0.236, 0.172, 0.006)
Ba (0.236, 0.328, 0.506)
Ba (0.764, 0.672, 0.494)
Ba (0.764, 0.828, 0.994)
Zn (0.186, 0.607, 0.808)
Zn (0.186, 0.893, 0.308)
Zn (0.814, 0.107, 0.692)
Zn (0.814, 0.393, 0.192)
W (0.304, 0.608, 0.183)
W (0.304, 0.892, 0.683)
W (0.696, 0.108, 0.317)
W (0.696, 0.392, 0.817)
F (0.008, 0.711, 0.245)
F (0.008, 0.789, 0.745)
F (0.095, 0.541, 0.629)
F (0.095, 0.959, 0.129)
F (0.135, 0.066, 0.623)
F (0.135, 0.434, 0.123)
F (0.235, 0.698, 0.992)
F (0.235, 0.802, 0.492)
F (0.371, 0.045, 0.379)
F (0.371, 0.455, 0.879)
F (0.400, 0.538, 0.375)
F (0.400, 0.962, 0.875)
F (0.472, 0.717, 0.745)
F (0.472, 0.783, 0.245)
F (0.528, 0.217, 0.755)
F (0.528, 0.283, 0.255)
F (0.600, 0.038, 0.125)
F (0.600, 0.462, 0.625)
F (0.629, 0.545, 0.121)
F (0.629, 0.955, 0.621)
F (0.765, 0.198, 0.508)
F (0.765, 0.302, 0.008)
F (0.865, 0.566, 0.877)
F (0.865, 0.934, 0.377)
F (0.905, 0.041, 0.871)
F (0.905, 0.459, 0.371)
F (0.992, 0.211, 0.255)
F (0.992, 0.289, 0.755)